1.
Below is YAs2 after structural relaxation, with properties calculated at the PBE level.

Summary:
- final energy (eV/f.u.) = -18.14

a b c (Å): 9.400 3.730 4.025
angles (deg): 90.00 107.18 90.00
Space group C2/m (No. 12)
Symmetry-distinct sites (fractional):
Y 0.000 0.000 0.000 x2
As 0.146 0.500 0.577 x4

2.
Below is Y3As2 after structural relaxation, with properties calculated at the PBE level.

Summary:
- final energy (eV/f.u.) = -34.64

a b c (Å): 4.0797 4.0797 9.5660
angles (deg): 90.00 90.00 120.00
Space group P-3m1 (No. 164)
Symmetry-distinct sites (fractional):
Y 0.0000 0.0000 0.0000 x1
Y 0.3333 0.6667 0.3406 x2
As 0.3333 0.6667 0.8222 x2

3.
Below is Y3As4 after structural relaxation, with properties calculated at the PBE level.

Summary:
- polymorph energy (0 for the lowest one) (meV/atom) = 570

a b c (Å): 6.8040 6.8040 4.5565
angles (deg): 90.00 90.00 120.00
Space group P6/mmm (No. 191)
Symmetry-distinct sites (fractional):
Y 0.0000 0.5000 0.0000 x3
As 0.0000 0.0000 0.2544 x2
As 0.3333 0.6667 0.5000 x2

4.
Below is Y4As5 after structural relaxation, with properties calculated at the PBE level.

Summary:
- polymorph energy (0 for the lowest one) (meV/atom) = 0

a b c (Å): 8.8113 8.8113 6.0561
angles (deg): 90.00 90.00 120.00
Space group P6_3/mcm (No. 193)
Symmetry-distinct sites (fractional):
Y 0.0000 0.0000 0.0000 x2
Y 0.0000 0.3847 0.2500 x6
As 0.0000 0.2748 0.7500 x6
As 0.3333 0.6667 0.0000 x4

no.,spin magnetization (μB/cell)
1,0.0
2,0.0
3,0.0
4,0.0